No. 1
A plane-wave DFT calculation with meta-GGA SCAN was carried out for TaCo6Re at its PBEsol-relaxed geometry.

Computed properties:
Formation enthalpy at 0 K   0.061 eV per atom
Symmetry   Cmmm
DFT total energy   -30.127 eV per atom

Cell: 6.1597 6.1597 10.0733 Å, 90.00 90.00 109.48°
Closest atoms and distances in Å follow each position.
Atoms (fractional coordinates):
Ta1 0.0000 0.0000 0.2482  12 Co 2.50-2.58
Ta2 0.0000 0.0000 0.7518  12 Co 2.50-2.58
Ta3 0.2474 0.7526 0.0000  12 Co 2.49-2.58
Ta4 0.7526 0.2474 0.0000  12 Co 2.49-2.58
Co1 0.0000 0.0000 0.0000  4 Ta 2.49-2.50, 8 Co 2.55
Co2 0.0000 0.0000 0.5000  2 Re 2.48, 8 Co 2.53, 2 Ta 2.54
Co3 0.1280 0.3820 0.3783  8 Co 2.45-2.55, 3 Re 2.48-2.53, 1 Ta 2.58
Co4 0.1280 0.3820 0.6217  8 Co 2.45-2.55, 3 Re 2.48-2.53, 1 Ta 2.58
Co5 0.1323 0.3793 0.1285  1 Re 2.45, 8 Co 2.48-2.59, 3 Ta 2.51-2.56
Co6 0.1323 0.3793 0.8715  1 Re 2.45, 8 Co 2.48-2.59, 3 Ta 2.51-2.56
Co7 0.2534 0.7466 0.2558  8 Co 2.45-2.58, 2 Re 2.46-2.48, 2 Ta 2.55-2.58
Co8 0.2534 0.7466 0.7442  8 Co 2.45-2.58, 2 Re 2.46-2.48, 2 Ta 2.55-2.58
Co9 0.3793 0.1323 0.1285  1 Re 2.45, 8 Co 2.48-2.59, 3 Ta 2.51-2.56
Co10 0.3793 0.1323 0.8715  1 Re 2.45, 8 Co 2.48-2.59, 3 Ta 2.51-2.56
Co11 0.3820 0.1280 0.3783  8 Co 2.45-2.55, 3 Re 2.48-2.53, 1 Ta 2.58
Co12 0.3820 0.1280 0.6217  8 Co 2.45-2.55, 3 Re 2.48-2.53, 1 Ta 2.58
Co13 0.5000 0.5000 0.0000  2 Re 2.49, 8 Co 2.50, 2 Ta 2.54
Co14 0.5000 0.5000 0.5000  8 Co 2.48, 4 Re 2.54-2.55
Co15 0.6180 0.8720 0.3783  8 Co 2.45-2.55, 3 Re 2.48-2.53, 1 Ta 2.58
Co16 0.6180 0.8720 0.6217  8 Co 2.45-2.55, 3 Re 2.48-2.53, 1 Ta 2.58
Co17 0.6207 0.8677 0.1285  1 Re 2.45, 8 Co 2.48-2.59, 3 Ta 2.51-2.56
Co18 0.6207 0.8677 0.8715  1 Re 2.45, 8 Co 2.48-2.59, 3 Ta 2.51-2.56
Co19 0.7466 0.2534 0.2558  8 Co 2.45-2.58, 2 Re 2.46-2.48, 2 Ta 2.55-2.58
Co20 0.7466 0.2534 0.7442  8 Co 2.45-2.58, 2 Re 2.46-2.48, 2 Ta 2.55-2.58
Co21 0.8677 0.6207 0.1285  1 Re 2.45, 8 Co 2.48-2.59, 3 Ta 2.51-2.56
Co22 0.8677 0.6207 0.8715  1 Re 2.45, 8 Co 2.48-2.59, 3 Ta 2.51-2.56
Co23 0.8720 0.6180 0.3783  8 Co 2.45-2.55, 3 Re 2.48-2.53, 1 Ta 2.58
Co24 0.8720 0.6180 0.6217  8 Co 2.45-2.55, 3 Re 2.48-2.53, 1 Ta 2.58
Re1 0.2463 0.7537 0.5000  12 Co 2.46-2.55
Re2 0.5000 0.5000 0.2474  12 Co 2.45-2.54
Re3 0.5000 0.5000 0.7526  12 Co 2.45-2.54
Re4 0.7537 0.2463 0.5000  12 Co 2.46-2.55

---

No. 2
A plane-wave DFT calculation with meta-GGA SCAN was carried out for Ta2CoRe at its PBEsol-relaxed geometry.

Computed properties:
Formation enthalpy at 0 K   -0.110 eV per atom
Symmetry   P4mm
DFT total energy   -55.502 eV per atom

Cell: 3.1669 3.1669 5.9982 Å, 90.00 90.00 90.00°
Closest atoms and distances in Å follow each position.
Atoms (fractional coordinates):
Ta1 0.0000 0.0000 0.0000  4 Re 2.67, 4 Ta 2.83, 1 Co 2.94
Ta2 0.5000 0.5000 0.2889  4 Co 2.60, 1 Re 2.81, 4 Ta 2.83
Co1 0.0000 0.0000 0.5103  4 Ta 2.60, 4 Re 2.69
Re1 0.5000 0.5000 0.7575  5 Ta 2.67-2.81, 4 Co 2.69

---

No. 3
A plane-wave DFT calculation with meta-GGA SCAN was carried out for Ta2CoRe at its PBEsol-relaxed geometry.

Computed properties:
Formation enthalpy at 0 K   -0.379 eV per atom
Symmetry   P4/mmm
DFT total energy   -55.771 eV per atom

Cell: 4.3910 4.3910 3.1383 Å, 90.00 90.00 90.00°
Closest atoms and distances in Å follow each position.
Atoms (fractional coordinates):
Ta1 0.0000 0.5000 0.0000  4 Co 2.70, 4 Re 2.70
Ta2 0.5000 0.0000 0.0000  4 Co 2.70, 4 Re 2.70
Co1 0.0000 0.0000 0.5000  8 Ta 2.70
Re1 0.5000 0.5000 0.5000  8 Ta 2.70

---

No. 4
A plane-wave DFT calculation with meta-GGA SCAN was carried out for Ta2CoRe at its PBEsol-relaxed geometry.

Computed properties:
Formation enthalpy at 0 K   0.039 eV per atom
Symmetry   Cmm2
DFT total energy   -55.353 eV per atom

Cell: 2.7126 2.7126 8.2472 Å, 90.00 90.00 100.48°
Closest atoms and distances in Å follow each position.
Atoms (fractional coordinates):
Ta1 0.0000 0.0000 0.0000  4 Co 2.62-2.86, 6 Ta 2.71-2.93
Ta2 0.5000 0.5000 0.2863  6 Ta 2.71-2.93, 2 Re 2.84
Co1 0.5000 0.5000 0.7624  4 Re 2.41-2.67, 2 Ta 2.62
Re1 0.0000 0.0000 0.5595  4 Co 2.41-2.67

---

No. 5
A plane-wave DFT calculation with meta-GGA SCAN was carried out for TaCo4Re at its PBEsol-relaxed geometry.

Computed properties:
Formation enthalpy at 0 K   -0.020 eV per atom
Symmetry   F-43m
DFT total energy   -34.503 eV per atom

Cell: 4.6363 4.6363 4.6363 Å, 60.00 60.00 60.00°
Closest atoms and distances in Å follow each position.
Atoms (fractional coordinates):
Ta1 0.0000 0.0000 0.0000  12 Co 2.72, 4 Re 2.84
Co1 0.3757 0.3757 0.3757  6 Co 2.31-2.33
Co2 0.3757 0.3757 0.8730  6 Co 2.31-2.33
Co3 0.3757 0.8730 0.3757  6 Co 2.31-2.33
Co4 0.8730 0.3757 0.3757  6 Co 2.31-2.33
Re1 0.7500 0.7500 0.7500  12 Co 2.72, 4 Ta 2.84

---

No. 6
A plane-wave DFT calculation with meta-GGA SCAN was carried out for CoReTcTe2 at its PBEsol-relaxed geometry.

Computed properties:
Symmetry   P4/mmm
DFT total energy   -38.053 eV per atom
E_form (uncorrected)   1.54 eV/atom

Cell: 5.0674 5.0674 4.4215 Å, 90.00 90.00 90.00°
Closest atoms and distances in Å follow each position.
Atoms (fractional coordinates):
Co1 0.0000 0.0000 0.0000  2 Re 2.21
Re1 0.0000 0.0000 0.5000  2 Co 2.21
Tc1 0.5000 0.5000 0.0000  8 Te 3.36, 4 Co 3.58
Te1 0.0000 0.5000 0.5000  2 Re 2.53
Te2 0.5000 0.0000 0.5000  2 Re 2.53

---

Question: The lowest DFT total energy belongs to which entry?
Answer: number 3

---

Question: What is the DFT total energy in the first record?
Answer: -30.127 eV per atom

---

Question: Among the records above, which one has the highest DFT total energy?
Answer: TaCo6Re

---

Question: The highest DFT total energy belongs to which entry?
Answer: TaCo6Re